This record from Alexandria via LeMat-Bulk describes crystalline AuCl at its relaxed geometry. The functional is PBE.

As for the space group: Pnma (62). The value obtained for the total energy is -19.98 eV/cell. As for the crystal system: orthorhombic. As for the raw formation energy: 0.065 eV/atom.

a b c (Å): 8.663 3.469 7.093
angles (deg): 90.00 90.00 90.00
Atoms (fractional coordinates):
Au: 0.241 0.250 0.028
Au: 0.259 0.750 0.528
Au: 0.741 0.250 0.472
Au: 0.759 0.750 0.972
Cl: 0.107 0.750 0.254
Cl: 0.393 0.250 0.754
Cl: 0.607 0.750 0.246
Cl: 0.893 0.250 0.746

=====

This record from Alexandria via LeMat-Bulk describes crystalline AuCl at its relaxed geometry. The functional is PBE.

As for the space group: Fddd (70). The value obtained for the total energy is -21.85 eV/cell. As for the crystal system: orthorhombic. As for the raw formation energy: -0.170 eV/atom.

a b c (Å): 10.431 8.058 7.834
angles (deg): 82.03 49.91 48.06
Atoms (fractional coordinates):
Au: 0.124 0.124 0.626
Au: 0.374 0.374 0.876
Au: 0.626 0.626 0.124
Au: 0.876 0.876 0.374
Cl: 0.001 0.749 0.001
Cl: 0.251 0.999 0.251
Cl: 0.749 0.001 0.749
Cl: 0.999 0.251 0.999

=====

This record from Alexandria via LeMat-Bulk describes crystalline Au2Cl at its relaxed geometry. The functional is PBE.

As for the space group: I4/mmm (139). The value obtained for the total energy is -15.46 eV/cell. As for the crystal system: tetragonal. As for the raw formation energy: 0.224 eV/atom. Its energy above the most stable polymorph in this dataset is 23.0 kJ/mol of atoms.

a b c (Å): 3.189 3.189 11.571
angles (deg): 90.00 90.00 90.00
Atoms (fractional coordinates):
Au: 0.000 0.000 0.174
Au: 0.000 0.000 0.826
Au: 0.500 0.500 0.326
Au: 0.500 0.500 0.674
Cl: 0.000 0.000 0.500
Cl: 0.500 0.500 0.000

=====

This record from Alexandria via LeMat-Bulk describes crystalline Au3Cl at its relaxed geometry. The functional is PBE.

As for the space group: Cmcm (63). The value obtained for the total energy is -42.70 eV/cell. As for the crystal system: orthorhombic. As for the raw formation energy: 0.251 eV/atom. Its energy above the most stable polymorph in this dataset is 18.4 kJ/mol of atoms.

a b c (Å): 6.957 9.646 4.701
angles (deg): 90.00 90.00 90.00
Atoms (fractional coordinates):
Au: 0.000 0.188 0.250
Au: 0.000 0.812 0.750
Au: 0.200 0.087 0.750
Au: 0.200 0.913 0.250
Au: 0.300 0.413 0.250
Au: 0.300 0.587 0.750
Au: 0.500 0.312 0.750
Au: 0.500 0.688 0.250
Au: 0.700 0.413 0.250
Au: 0.700 0.587 0.750
Au: 0.800 0.087 0.750
Au: 0.800 0.913 0.250
Cl: 0.000 0.382 0.750
Cl: 0.000 0.618 0.250
Cl: 0.500 0.118 0.250
Cl: 0.500 0.882 0.750